Record 1
Below is crystalline Mg4CdCu at its relaxed geometry, with properties calculated at the GGA-PBE level.

```
6
Lattice="0.000 3.993 3.993 3.993 0.000 3.993 3.993 3.993 0.000" Properties=species:S:1:pos:R:3 pbc="T T T"
Mg 1.000 1.000 1.000
Mg 2.993 2.993 1.000
Mg 2.993 1.000 2.993
Mg 1.000 2.993 2.993
Cd 5.990 5.990 5.990
Cu 3.993 3.993 3.993
```

V in A^3/atom: 21.2
Energy of formation in eV/atom: 0.23
ΔE to the lowest computed polymorph in eV per atom: 0.295
Fermi-level density of states in states/eV/f.u.: 1.43
E in eV for the cell shown: -10.0

Record 2
Below is crystalline BaCaAg4 at its relaxed geometry, with properties calculated at the GGA-PBE level.

```
6
Lattice="0.000 4.217 4.217 4.217 0.000 4.217 4.217 4.217 0.000" Properties=species:S:1:pos:R:3 pbc="T T T"
Ba 0.000 0.000 0.000
Ca 6.325 6.325 6.325
Ag 3.177 3.177 3.177
Ag 5.256 5.256 3.177
Ag 5.256 3.177 5.256
Ag 3.177 5.256 5.256
```

V in A^3/atom: 25.0
Energy of formation in eV/atom: -0.17
ΔE to the lowest computed polymorph in eV per atom: 0.110
Fermi-level density of states in states/eV/f.u.: 6.85
E in eV for the cell shown: -16.4

Record 3
Below is crystalline ThInBr5 at its relaxed geometry, with properties calculated at the GGA-PBE level.

```
14
Lattice="6.551 -4.625 0.000 6.551 4.625 0.000 -4.788 0.000 10.299" Properties=species:S:1:pos:R:3 pbc="T T T"
Th 0.000 0.000 0.000
Th -2.394 0.000 5.149
In 2.959 0.194 7.724
In 5.353 -0.194 2.575
Br 2.959 3.816 7.724
Br -0.057 0.751 6.477
Br 5.647 1.948 0.168
Br 2.337 -0.751 1.327
Br 5.060 1.948 4.981
Br 3.253 -1.948 5.317
Br 5.976 0.751 8.972
Br 2.666 -1.948 10.131
Br 8.370 -0.751 3.822
Br 5.353 -3.816 2.575
```

V in A^3/atom: 44.6
Fermi-level density of states in states/eV/f.u.: 0.00
E_form (uncorrected) in eV/atom: -1.397
E in eV for the cell shown: -56.6

Record 4
Below is crystalline RbAcCdHg at its relaxed geometry, with properties calculated at the GGA-PBE level.

```
4
Lattice="0.000 4.149 4.149 4.149 0.000 4.149 4.149 4.149 0.000" Properties=species:S:1:pos:R:3 pbc="T T T"
Rb 0.000 0.000 0.000
Ac 4.149 4.149 4.149
Cd 6.223 6.223 6.223
Hg 2.074 2.074 2.074
```

V in A^3/atom: 35.7
Energy of formation in eV/atom: -0.09
Fermi-level density of states in states/eV/f.u.: 4.19
E in eV for the cell shown: -6.6

Record 5
Below is crystalline HgMo2 at its relaxed geometry, with properties calculated at the GGA-PBE level.

```
12
Lattice="5.809 0.000 0.000 0.000 4.256 0.000 0.000 0.000 8.614" Properties=species:S:1:pos:R:3 pbc="T T T"
Hg 0.744 1.064 0.725
Hg 2.161 3.192 5.032
Hg 3.648 1.064 3.582
Hg 5.066 3.192 7.890
Mo 0.418 1.064 6.118
Mo 0.744 1.064 3.564
Mo 2.160 3.192 7.871
Mo 2.486 3.192 1.811
Mo 3.323 1.064 6.803
Mo 3.649 1.064 0.743
Mo 5.065 3.192 5.050
Mo 5.391 3.192 2.496
```

V in A^3/atom: 17.7
Energy of formation in eV/atom: 0.48
ΔE to the lowest computed polymorph in eV per atom: 0.079
Fermi-level density of states in states/eV/f.u.: 1.67
E in eV for the cell shown: -82.1

Record 6
Below is crystalline Sr2TbUN4 at its relaxed geometry, with properties calculated at the GGA-PBE level.

```
8
Lattice="6.115 0.000 0.000 0.000 3.604 0.000 -2.032 0.000 5.993" Properties=species:S:1:pos:R:3 pbc="T T T"
Sr 0.000 0.000 0.000
Sr 3.057 1.802 0.000
Tb -1.016 1.802 2.996
U 2.041 0.000 2.996
N 0.187 0.000 4.190
N 1.108 1.802 1.792
N 2.975 1.802 4.200
N 3.896 0.000 1.803
```

V in A^3/atom: 16.5
Fermi-level density of states in states/eV/f.u.: 3.44
E_form (uncorrected) in eV/atom: -1.262
E in eV for the cell shown: -62.7

Record 7
Below is crystalline LiTl2Ir at its relaxed geometry, with properties calculated at the GGA-PBE level.

```
8
Lattice="-2.233 2.233 9.157 2.233 -2.233 9.157 2.233 2.233 -9.157" Properties=species:S:1:pos:R:3 pbc="T T T"
Li 0.000 0.000 0.000
Li 0.000 2.233 4.579
Tl 1.117 -1.079 6.868
Tl 1.154 1.117 2.289
Tl 1.117 3.312 -2.289
Tl 1.079 1.117 11.446
Ir 2.233 0.000 4.579
Ir 0.000 0.000 9.157
```

V in A^3/atom: 22.8
Energy of formation in eV/atom: 0.43
Fermi-level density of states in states/eV/f.u.: 2.65
E in eV for the cell shown: -27.5

Record 8
Below is crystalline Cs4U3CuSe8 at its relaxed geometry, with properties calculated at the GGA-PBE level.

```
16
Lattice="7.376 -4.235 0.000 7.376 4.235 0.000 -4.916 0.000 8.358" Properties=species:S:1:pos:R:3 pbc="T T T"
Cs 0.000 0.000 0.000
Cs 3.688 2.118 0.000
Cs 3.688 -2.118 0.000
Cs 7.376 0.000 0.000
U -2.458 0.000 4.179
U 1.230 2.118 4.179
U 1.230 -2.118 4.179
Cu 4.918 0.000 4.179
Se 3.689 2.109 5.677
Se -0.003 0.000 5.754
Se 2.427 0.000 2.656
Se 6.148 2.109 2.682
Se 3.689 -2.109 5.677
Se 7.410 0.000 5.702
Se 9.840 0.000 2.605
Se 6.148 -2.109 2.682
```

V in A^3/atom: 32.6
Fermi-level density of states in states/eV/f.u.: 12.02
E_form (uncorrected) in eV/atom: -1.065
E in eV for the cell shown: -86.3

Record 9
Below is crystalline MgSc2Ni at its relaxed geometry, with properties calculated at the GGA-PBE level.

```
4
Lattice="1.733 1.001 8.448 -1.733 1.001 8.448 0.000 -2.001 8.448" Properties=species:S:1:pos:R:3 pbc="T T T"
Mg 0.000 0.000 0.000
Sc 0.000 0.000 5.826
Sc 0.000 0.000 11.115
Ni 0.000 0.000 21.166
```

V in A^3/atom: 22.0
Energy of formation in eV/atom: -0.09
Fermi-level density of states in states/eV/f.u.: 5.22
E in eV for the cell shown: -20.4

Record 10
Below is crystalline La2MnB at its relaxed geometry, with properties calculated at the GGA-PBE level.

```
8
Lattice="-3.602 3.602 3.337 3.602 -3.602 3.337 3.602 3.602 -3.337" Properties=species:S:1:pos:R:3 pbc="T T T"
La 5.403 1.726 -0.834
La 1.726 1.801 0.834
La -1.801 1.876 2.502
La 1.876 1.801 4.171
Mn 0.000 0.000 0.000
Mn 0.000 3.602 1.668
B 3.602 0.000 1.668
B 0.000 0.000 3.337
```

V in A^3/atom: 21.6
Energy of formation in eV/atom: 0.89
Fermi-level density of states in states/eV/f.u.: 5.60
E in eV for the cell shown: -44.2

Record 11
Below is crystalline DyP2Se6 at its relaxed geometry, with properties calculated at the GGA-PBE level.

```
9
Lattice="3.320 1.917 7.509 -3.320 1.917 7.509 0.000 -3.833 7.509" Properties=species:S:1:pos:R:3 pbc="T T T"
Dy 0.000 0.000 0.000
P 0.000 0.000 6.348
P 0.000 0.000 8.648
Se -1.002 -1.842 9.327
Se -2.341 0.063 13.178
Se -1.094 1.789 9.327
Se 1.116 -2.059 13.178
Se 2.096 0.053 9.327
Se 1.225 1.996 13.178
```

V in A^3/atom: 31.8
Fermi-level density of states in states/eV/f.u.: 10.55
E_form (uncorrected) in eV/atom: -0.482
E in eV for the cell shown: -40.7

Record 12
Below is crystalline CaPbWBr2 at its relaxed geometry, with properties calculated at the GGA-PBE level.

```
5
Lattice="5.096 0.000 0.000 0.000 5.096 0.000 0.000 0.000 6.013" Properties=species:S:1:pos:R:3 pbc="T T T"
Ca 0.000 0.000 0.000
Pb 2.548 2.548 0.000
W 0.000 0.000 3.007
Br 0.000 2.548 3.007
Br 2.548 0.000 3.007
```

V in A^3/atom: 31.2
Fermi-level density of states in states/eV/f.u.: 5.17
E_form (uncorrected) in eV/atom: 0.551
E in eV for the cell shown: -19.3

Record 13
Below is crystalline K4Na4Li at its relaxed geometry, with properties calculated at the GGA-PBE level.

```
9
Lattice="-3.722 3.722 8.456 3.722 -3.722 8.456 3.722 3.722 -8.456" Properties=species:S:1:pos:R:3 pbc="T T T"
K 2.218 2.218 -1.579
K 1.505 -1.505 10.035
K 1.505 1.505 6.876
K -1.505 1.505 10.035
Na 2.349 -2.349 5.447
Na 1.373 1.373 3.008
Na -2.349 2.349 5.447
Na 2.349 2.349 11.464
Li 0.000 0.000 0.000
```

V in A^3/atom: 52.1
Energy of formation in eV/atom: 0.10
Fermi-level density of states in states/eV/f.u.: 5.49
E in eV for the cell shown: -10.7

Record 14
Below is crystalline YZn3Re at its relaxed geometry, with properties calculated at the GGA-PBE level.

```
5
Lattice="4.777 0.000 0.000 0.000 4.777 0.000 0.000 0.000 4.777" Properties=species:S:1:pos:R:3 pbc="T T T"
Y 0.000 0.000 0.000
Zn 0.000 2.389 2.389
Zn 2.389 0.000 2.389
Zn 2.389 2.389 0.000
Re 2.389 2.389 2.389
```

V in A^3/atom: 21.8
Energy of formation in eV/atom: 0.35
ΔE to the lowest computed polymorph in eV per atom: 0.000
Fermi-level density of states in states/eV/f.u.: 2.32
E in eV for the cell shown: -21.0

Record 15
Below is crystalline Sc2SbIrBr at its relaxed geometry, with properties calculated at the GGA-PBE level.

```
5
Lattice="4.930 0.000 0.000 0.000 4.930 0.000 0.000 0.000 4.712" Properties=species:S:1:pos:R:3 pbc="T T T"
Sc 0.000 2.465 0.000
Sc 2.465 0.000 0.000
Sb 0.000 0.000 2.356
Ir 2.465 2.465 2.356
Br 2.465 2.465 0.000
```

V in A^3/atom: 22.9
Fermi-level density of states in states/eV/f.u.: 4.96
E_form (uncorrected) in eV/atom: 0.130
E in eV for the cell shown: -26.7

Record 16
Below is crystalline SrLi at its relaxed geometry, with properties calculated at the GGA-PBE level.

```
4
Lattice="4.478 0.000 0.000 0.000 5.260 0.000 -2.212 0.000 6.572" Properties=species:S:1:pos:R:3 pbc="T T T"
Sr 0.006 1.315 1.946
Sr 2.260 3.945 4.625
Li 0.025 1.315 5.707
Li 2.241 3.945 0.865
```

V in A^3/atom: 38.7
Energy of formation in eV/atom: 0.03
ΔE to the lowest computed polymorph in eV per atom: 0.000
Fermi-level density of states in states/eV/f.u.: 1.55
E in eV for the cell shown: -7.1

Record 17
Below is crystalline NiAu3 at its relaxed geometry, with properties calculated at the GGA-PBE level.

```
16
Lattice="5.020 0.000 0.000 0.000 9.291 0.000 0.000 0.000 5.650" Properties=species:S:1:pos:R:3 pbc="T T T"
Ni 0.351 2.323 0.703
Ni 2.159 6.969 3.528
Ni 2.861 2.323 2.122
Ni 4.668 6.969 4.947
Au 0.267 2.323 3.471
Au 1.188 4.737 4.898
Au 1.188 9.200 4.898
Au 1.321 0.091 2.073
Au 1.321 4.555 2.073
Au 2.242 6.969 0.646
Au 2.777 2.323 5.004
Au 3.698 4.737 3.577
Au 3.698 9.200 3.577
Au 3.831 0.091 0.752
Au 3.831 4.555 0.752
Au 4.752 6.969 2.179
```

V in A^3/atom: 16.5
Energy of formation in eV/atom: 0.10
Fermi-level density of states in states/eV/f.u.: 2.70
E in eV for the cell shown: -60.8

Record 18
Below is crystalline U2Tl2RuS6 at its relaxed geometry, with properties calculated at the GGA-PBE level.

```
11
Lattice="3.178 -5.470 0.000 3.178 5.470 0.000 -2.317 0.000 7.951" Properties=species:S:1:pos:R:3 pbc="T T T"
U 3.178 3.645 0.000
U 3.178 -3.645 0.000
Tl 2.020 1.917 3.975
Tl 2.020 -1.917 3.975
Ru 3.178 0.000 0.000
S -0.122 1.677 6.414
S 1.246 0.000 1.544
S -0.122 -1.677 6.414
S 4.161 1.677 1.536
S 2.793 0.000 6.406
S 4.161 -1.677 1.536
```

V in A^3/atom: 25.1
Fermi-level density of states in states/eV/f.u.: 12.45
E_form (uncorrected) in eV/atom: -0.882
E in eV for the cell shown: -71.1

Record 19
Below is crystalline SrTaCoH2 at its relaxed geometry, with properties calculated at the GGA-PBE level.

```
5
Lattice="4.235 0.000 0.000 0.000 4.235 0.000 0.000 0.000 4.473" Properties=species:S:1:pos:R:3 pbc="T T T"
Sr 0.000 0.000 0.000
Ta 2.117 2.117 0.000
Co 2.117 2.117 2.237
H 0.000 2.117 2.237
H 2.117 0.000 2.237
```

V in A^3/atom: 16.0
Fermi-level density of states in states/eV/f.u.: 4.52
E in eV for the cell shown: -22.5